Version 1
A relaxed structure of MgTi2Fe2, computed with PBE.

**Density of states at the Fermi level**: 0.529 states/eV per atom
**Crystal system**: tetragonal
**Space group**: P4/mbm (127)

Cell and atoms, written as CIF:
```
data_MgTi2Fe2
_space_group_name_H-M_alt 'P 1'
_space_group_IT_number 1
_cell_length_a 7.205
_cell_length_b 7.205
_cell_length_c 2.816
_cell_angle_alpha 90.00
_cell_angle_beta 90.00
_cell_angle_gamma 90.00
loop_
_space_group_symop_operation_xyz
'x,y,z'
loop_
_atom_site_label
_atom_site_type_symbol
_atom_site_fract_x
_atom_site_fract_y
_atom_site_fract_z
Mg1 Mg 0.500 0.500 0.000
Mg2 Mg 0.000 0.000 0.000
Fe1 Fe 0.153 0.653 0.500
Ti1 Ti 0.360 0.860 0.000
Ti2 Ti 0.140 0.360 0.000
Fe2 Fe 0.347 0.153 0.500
Ti3 Ti 0.640 0.140 0.000
Fe3 Fe 0.847 0.347 0.500
Fe4 Fe 0.653 0.847 0.500
Ti4 Ti 0.860 0.640 0.000
```



Version 2
A relaxed structure of MgTi2Fe2, computed with PBE.

**Density of states at the Fermi level**: 0.629 states/eV per atom
**Crystal system**: tetragonal
**Space group**: P4/mbm (127)

Cell and atoms, written as CIF:
```
data_MgTi2Fe2
_space_group_name_H-M_alt 'P 1'
_space_group_IT_number 1
_cell_length_a 7.032
_cell_length_b 7.032
_cell_length_c 2.938
_cell_angle_alpha 90.00
_cell_angle_beta 90.00
_cell_angle_gamma 90.00
loop_
_space_group_symop_operation_xyz
'x,y,z'
loop_
_atom_site_label
_atom_site_type_symbol
_atom_site_fract_x
_atom_site_fract_y
_atom_site_fract_z
Ti1 Ti 0.851 0.351 0.500
Fe1 Fe 0.641 0.141 0.000
Ti2 Ti 0.149 0.649 0.500
Fe2 Fe 0.141 0.359 0.000
Mg1 Mg 0.000 0.000 0.000
Fe3 Fe 0.859 0.641 0.000
Fe4 Fe 0.359 0.859 0.000
Mg2 Mg 0.500 0.500 0.000
Ti3 Ti 0.351 0.149 0.500
Ti4 Ti 0.649 0.851 0.500
```



Relative energies, in kJ/mol of atoms, with the most stable structure set to zero: version 1 10.1; version 2 0.0.